No. 1
The following is a DFT calculation (PBE) of an optimized crystal structure of TbNdBiI.

The structure in CIF format:
```
data_TbNdBiI
_chemical_formula_sum 'Tb4 Nd4 Bi4 I4'
_cell_length_a 7.817
_cell_length_b 7.817
_cell_length_c 7.817
_cell_angle_alpha 90.00
_cell_angle_beta 90.00
_cell_angle_gamma 90.00
_symmetry_space_group_name_H-M 'F -4 3 m'
_symmetry_Int_Tables_number 216
_symmetry_space_group_name_Hall 'F -4 2 3'
loop_
_atom_site_label
_atom_site_type_symbol
_atom_site_fract_x
_atom_site_fract_y
_atom_site_fract_z
Tb1 Tb 0.000 0.000 0.000
Nd1 Nd 0.000 0.000 0.500
Bi1 Bi 0.250 0.250 0.250
I1 I 0.250 0.250 0.750
```

***

No. 2
# PBE NiBi2I, optimized geometry
# E above lowest polymorph	293	meV per atom
data_NiBi2I
_chemical_formula_sum 'Ni4 Bi8 I4'
_cell_length_a 6.952
_cell_length_b 6.952
_cell_length_c 11.678
_cell_angle_alpha 90.00
_cell_angle_beta 90.00
_cell_angle_gamma 90.00
_symmetry_space_group_name_H-M 'I -4 2 d'
_symmetry_Int_Tables_number 122
_symmetry_space_group_name_Hall 'I -4 2bw'
loop_
_atom_site_label
_atom_site_type_symbol
_atom_site_fract_x
_atom_site_fract_y
_atom_site_fract_z
Ni1 Ni 0.000 0.000 0.000
Bi1 Bi 0.147 0.250 0.125
I1 I 0.000 0.000 0.500

***

No. 3
# PBE NiBiI2, optimized geometry
# E above lowest polymorph	178	meV per atom
data_NiBiI2
_chemical_formula_sum 'Ni4 Bi4 I8'
_cell_length_a 7.229
_cell_length_b 7.229
_cell_length_c 9.909
_cell_angle_alpha 90.00
_cell_angle_beta 90.00
_cell_angle_gamma 90.00
_symmetry_space_group_name_H-M 'I -4 2 d'
_symmetry_Int_Tables_number 122
_symmetry_space_group_name_Hall 'I -4 2bw'
loop_
_atom_site_label
_atom_site_type_symbol
_atom_site_fract_x
_atom_site_fract_y
_atom_site_fract_z
Ni1 Ni 0.000 0.000 0.000
Bi1 Bi 0.000 0.000 0.500
I1 I 0.171 0.250 0.125

***

No. 4
The following is a DFT calculation (PBE) of an optimized crystal structure of NiBi4I.

The structure in CIF format:
```
data_NiBi4I
_chemical_formula_sum 'Ni4 Bi16 I4'
_cell_length_a 13.877
_cell_length_b 9.037
_cell_length_c 6.903
_cell_angle_alpha 90.00
_cell_angle_beta 95.38
_cell_angle_gamma 90.00
_symmetry_space_group_name_H-M 'C 1 2/m 1'
_symmetry_Int_Tables_number 12
loop_
_symmetry_equiv_pos_as_xyz
'x,y,z'
'-x,-y,-z'
'-x,y,-z'
'x,-y,z'
'x+1/2,y+1/2,z'
'-x+1/2,-y+1/2,-z'
'-x+1/2,y+1/2,-z'
'x+1/2,-y+1/2,z'
loop_
_atom_site_label
_atom_site_type_symbol
_atom_site_fract_x
_atom_site_fract_y
_atom_site_fract_z
Ni1 Ni 0.004 0.000 0.307
Bi1 Bi 0.000 0.194 0.000
Bi2 Bi 0.121 0.180 0.554
Bi3 Bi 0.182 0.000 0.180
I1 I 0.138 0.500 0.213
```

***

No. 5
# PBE Ni2BiI, optimized geometry
# E above lowest polymorph	0	meV per atom
data_Ni2BiI
_chemical_formula_sum 'Ni8 Bi4 I4'
_cell_length_a 6.144
_cell_length_b 6.144
_cell_length_c 10.505
_cell_angle_alpha 90.00
_cell_angle_beta 90.00
_cell_angle_gamma 90.00
_symmetry_space_group_name_H-M 'I -4 2 d'
_symmetry_Int_Tables_number 122
_symmetry_space_group_name_Hall 'I -4 2bw'
loop_
_atom_site_label
_atom_site_type_symbol
_atom_site_fract_x
_atom_site_fract_y
_atom_site_fract_z
Ni1 Ni 0.240 0.250 0.125
Bi1 Bi 0.000 0.000 0.500
I1 I 0.000 0.000 0.000

***

No. 6
# PBE NiBiI2, optimized geometry
# E above lowest polymorph	0	meV per atom
data_NiBiI2
_chemical_formula_sum 'Ni3 Bi3 I6'
_cell_length_a 3.8967
_cell_length_b 3.8967
_cell_length_c 27.9744
_cell_angle_alpha 90.00
_cell_angle_beta 90.00
_cell_angle_gamma 120.00
_symmetry_space_group_name_H-M 'R -3 m'
_symmetry_Int_Tables_number 166
_symmetry_space_group_name_Hall '-R 3 2"'
loop_
_atom_site_label
_atom_site_type_symbol
_atom_site_fract_x
_atom_site_fract_y
_atom_site_fract_z
Ni1 Ni 0.0000 0.0000 0.0000
Bi1 Bi 0.0000 0.0000 0.5000
I1 I 0.0000 0.0000 0.3877

***

| no. | total energy (eV per atom) | uncorrected formation energy (eV per atom) |
| --- | --- | --- |
| 1 | -4.488 | -0.7803 |
| 2 | -3.560 | 0.2134 |
| 3 | -2.909 | 0.2812 |
| 4 | -3.867 | -0.0573 |
| 5 | -3.953 | 0.2954 |
| 6 | -3.087 | 0.1032 |